This record from Alexandria via LeMat-Bulk describes an optimized crystal structure of CrCd2Hg. The functional is GGA-PBE.

a = 3.124 Å, b = 3.124 Å, c = 8.542 Å
α = 90.00°, β = 90.00°, γ = 90.00°
Space group P4/mmm (No. 123)
One atom of each set of equivalent atoms:
Cr: 0.000 0.000 0.000 x1
Cd: 0.500 0.500 0.225 x2
Hg: 0.000 0.000 0.500 x1

D(E_F), states/eV per cell: 1.7
DFT formation energy, meV/atom: 266